Material: ZrCoIO6
Method: DFT, PBE+U
State: relaxed

Cell lengths 5.4099, 5.4099, 8.9885 Å; angles 90.00, 90.00, 120.00 degrees
Site moments in Bohr magnetons follow the coordinates.
Fractional positions:
O  0.6473  0.6629  0.6296  -0.07
O  0.3371  0.9845  0.6296  -0.07
O  0.0155  0.3527  0.6296  -0.07
O  0.0155  0.6629  0.8704  -0.07
O  0.9845  0.3371  0.1296  -0.07
O  0.6629  0.6473  0.1296  -0.07
O  0.3527  0.3371  0.3704  -0.07
O  0.6473  0.9845  0.8704  -0.07
O  0.3371  0.3527  0.8704  -0.07
O  0.3527  0.0155  0.1296  -0.07
O  0.6629  0.0155  0.3704  -0.07
O  0.9845  0.6473  0.3704  -0.07
Co  0.0000  0.0000  0.0000  2.71
Co  0.0000  0.0000  0.5000  2.71
I  0.6667  0.3333  0.2500  -0.09
I  0.3333  0.6667  0.7500  -0.09
Zr  0.3333  0.6667  0.2500  -0.03
Zr  0.6667  0.3333  0.7500  -0.03

Its volume is 227.8 Å³/cell. As for the final energy: -0.46037 Ry/atom. Its crystal system is trigonal.